Density functional theory data (PBE-GGA) for crystalline Ce2TmPaP4 at its relaxed geometry.

Cell lengths 6.9389, 4.0230, 6.9866 Å; angles 90.00, 109.43, 90.00 degrees
Space group P2/m (No. 10)
Asymmetric unit:
Ce  0.0000  0.0000  0.0000
Ce  0.5000  0.5000  0.0000
Tm  0.0000  0.5000  0.5000
Pa  0.5000  0.0000  0.5000
P  0.2484  0.0000  0.7401
P  0.2536  0.5000  0.2606

Properties
energy of formation: -34.1 kcal/mol of atoms
raw total energy: -7.413 eV/atom

Density functional theory data (PBE-GGA) for crystalline CeTm2PaP4 at its relaxed geometry.

Cell lengths 6.8673, 3.9895, 6.9157 Å; angles 90.00, 109.54, 90.00 degrees
Space group P2/m (No. 10)
Asymmetric unit:
Ce  0.0000  0.0000  0.0000
Tm  0.5000  0.0000  0.5000
Tm  0.5000  0.5000  0.0000
Pa  0.0000  0.5000  0.5000
P  0.2525  0.0000  0.7463
P  0.2543  0.5000  0.2567

Properties
energy of formation: -34.6 kcal/mol of atoms
raw total energy: -7.251 eV/atom

Density functional theory data (PBE-GGA) for crystalline Ce3Tm2PaP6 at its relaxed geometry.

Cell lengths 6.9546, 12.0436, 6.9867 Å; angles 90.00, 109.36, 90.00 degrees
Space group C2/m (No. 12)
Asymmetric unit:
Ce  0.0000  0.0000  0.0000
Ce  0.0000  0.3325  0.0000
Tm  0.0000  0.1665  0.5000
Pa  0.0000  0.5000  0.5000
P  0.2454  0.3345  0.7398
P  0.2490  0.0000  0.7395

Properties
energy of formation: -34.7 kcal/mol of atoms
raw total energy: -7.228 eV/atom

Density functional theory data (PBE-GGA) for crystalline Ce3UPa2P6 at its relaxed geometry.

Cell lengths 17.5412, 4.0063, 8.0535 Å; angles 90.00, 103.68, 90.00 degrees
Space group C2/m (No. 12)
Asymmetric unit:
Ce  0.0000  0.0000  0.0000
Ce  0.1672  0.5000  0.3333
U  0.0000  0.0000  0.5000
Pa  0.1658  0.5000  0.8318
P  0.0016  0.5000  0.7430
P  0.1639  0.0000  0.5875
P  0.1690  0.0000  0.0778

Properties
energy of formation: -31.1 kcal/mol of atoms
raw total energy: -8.062 eV/atom

Density functional theory data (PBE-GGA) for crystalline Ce3U4PaP8 at its relaxed geometry.

Cell lengths 7.9301, 7.9301, 19.8162 Å; angles 90.00, 90.00, 120.00 degrees
Space group R-3m (No. 166, hexagonal axes)
Asymmetric unit:
Ce  0.0000  0.5000  0.0000
U  0.0000  0.0000  0.5000
U  0.0000  0.5000  0.5000
Pa  0.0000  0.0000  0.0000
P  0.0000  0.0000  0.2461
P  0.0043  0.5022  0.7525

Properties
energy of formation: -27.7 kcal/mol of atoms
raw total energy: -8.433 eV/atom

Density functional theory data (PBE-GGA) for crystalline CeU2Pa3P6 at its relaxed geometry.

Cell lengths 6.8764, 11.9114, 6.8994 Å; angles 90.00, 109.40, 90.00 degrees
Space group C2/m (No. 12)
Asymmetric unit:
Ce  0.0000  0.0000  0.0000
U  0.0000  0.3327  0.0000
Pa  0.0000  0.1641  0.5000
Pa  0.0000  0.5000  0.5000
P  0.2436  0.5000  0.2486
P  0.2464  0.3306  0.7484

Properties
energy of formation: -28.2 kcal/mol of atoms
raw total energy: -8.680 eV/atom

Density functional theory data (PBE-GGA) for crystalline CeUPa2P5 at its relaxed geometry.

Cell lengths 7.3760, 7.3760, 14.4313 Å; angles 90.00, 90.00, 90.00 degrees
Space group I4/mcm (No. 140)
Asymmetric unit:
Ce  0.0000  0.5000  0.2500
U  0.0000  0.0000  0.2500
Pa  0.1368  0.3632  0.0000
P  0.0000  0.0000  0.0000
P  0.1971  0.3029  0.3621

Properties
energy of formation: -17.0 kcal/mol of atoms
raw total energy: -7.768 eV/atom

Density functional theory data (PBE-GGA) for crystalline Ce2U3PaP6 at its relaxed geometry.

Cell lengths 6.8586, 11.8824, 6.9817 Å; angles 90.00, 109.11, 90.00 degrees
Space group C2/m (No. 12)
Asymmetric unit:
Ce  0.0000  0.1663  0.0000
U  0.0000  0.0000  0.5000
U  0.0000  0.3312  0.5000
Pa  0.0000  0.5000  0.0000
P  0.2415  0.5000  0.7413
P  0.2504  0.1641  0.7430

Properties
energy of formation: -27.5 kcal/mol of atoms
raw total energy: -8.502 eV/atom

Density functional theory data (PBE-GGA) for crystalline CeYPa2P4 at its relaxed geometry.

Cell lengths 6.9323, 4.0030, 6.9398 Å; angles 90.00, 109.47, 90.00 degrees
Space group P2/m (No. 10)
Asymmetric unit:
Ce  0.0000  0.0000  0.0000
Y  0.5000  0.5000  0.0000
Pa  0.0000  0.5000  0.5000
Pa  0.5000  0.0000  0.5000
P  0.2498  0.0000  0.7435
P  0.2548  0.5000  0.2570

Properties
energy of formation: -33.1 kcal/mol of atoms
raw total energy: -8.064 eV/atom

Density functional theory data (PBE-GGA) for crystalline CeY2PaP4 at its relaxed geometry.

Cell lengths 6.9326, 4.0211, 6.9693 Å; angles 90.00, 109.51, 90.00 degrees
Space group P2/m (No. 10)
Asymmetric unit:
Ce  0.0000  0.0000  0.0000
Y  0.5000  0.0000  0.5000
Y  0.5000  0.5000  0.0000
Pa  0.0000  0.5000  0.5000
P  0.2470  0.0000  0.7440
P  0.2490  0.5000  0.2554

Properties
energy of formation: -35.0 kcal/mol of atoms
raw total energy: -7.767 eV/atom

Density functional theory data (PBE-GGA) for crystalline Ce3YPa2P6 at its relaxed geometry.

Cell lengths 6.9723, 12.0767, 6.9995 Å; angles 90.00, 109.40, 90.00 degrees
Space group C2/m (No. 12)
Asymmetric unit:
Ce  0.0000  0.0000  0.0000
Ce  0.0000  0.3345  0.0000
Y  0.0000  0.5000  0.5000
Pa  0.0000  0.1667  0.5000
P  0.2434  0.0000  0.7411
P  0.2489  0.3314  0.7410

Properties
energy of formation: -33.8 kcal/mol of atoms
raw total energy: -7.773 eV/atom

Density functional theory data (PBE-GGA) for crystalline Ce2YPaP4 at its relaxed geometry.

Cell lengths 6.9724, 4.0383, 7.0091 Å; angles 90.00, 109.43, 90.00 degrees
Space group P2/m (No. 10)
Asymmetric unit:
Ce  0.0000  0.0000  0.0000
Ce  0.5000  0.5000  0.0000
Y  0.0000  0.5000  0.5000
Pa  0.5000  0.0000  0.5000
P  0.2522  0.0000  0.7433
P  0.2557  0.5000  0.2593

Properties
energy of formation: -34.3 kcal/mol of atoms
raw total energy: -7.671 eV/atom

Density functional theory data (PBE-GGA) for crystalline CeZr2Pa3P6 at its relaxed geometry.

Cell lengths 6.8000, 11.7794, 6.7300 Å; angles 90.00, 109.79, 90.00 degrees
Space group C2/m (No. 12)
Asymmetric unit:
Ce  0.0000  0.0000  0.0000
Zr  0.0000  0.3333  0.0000
Pa  0.0000  0.1629  0.5000
Pa  0.0000  0.5000  0.5000
P  0.2354  0.5000  0.2397
P  0.2462  0.3276  0.7553

Properties
energy of formation: -31.5 kcal/mol of atoms
raw total energy: -8.366 eV/atom

Density functional theory data (PBE-GGA) for crystalline Ce2ZrPaP4 at its relaxed geometry.

Cell lengths 6.8295, 3.9691, 6.8930 Å; angles 90.00, 109.38, 90.00 degrees
Space group P2/m (No. 10)
Asymmetric unit:
Ce  0.0000  0.0000  0.0000
Ce  0.5000  0.5000  0.0000
Zr  0.0000  0.5000  0.5000
Pa  0.5000  0.0000  0.5000
P  0.2393  0.0000  0.7338
P  0.2471  0.5000  0.2631

Properties
energy of formation: -33.1 kcal/mol of atoms
raw total energy: -7.878 eV/atom

Density functional theory data (PBE-GGA) for crystalline CeZrPa2P4 at its relaxed geometry.

Cell lengths 6.7932, 3.9569, 6.8219 Å; angles 90.00, 109.59, 90.00 degrees
Space group P2/m (No. 10)
Asymmetric unit:
Ce  0.0000  0.0000  0.0000
Zr  0.0000  0.5000  0.5000
Pa  0.5000  0.0000  0.5000
Pa  0.5000  0.5000  0.0000
P  0.2439  0.0000  0.7397
P  0.2494  0.5000  0.2593

Properties
energy of formation: -31.6 kcal/mol of atoms
raw total energy: -8.260 eV/atom

Density functional theory data (PBE-GGA) for crystalline Ce3Zr2PaP6 at its relaxed geometry.

Cell lengths 6.8181, 11.8141, 6.8527 Å; angles 90.00, 109.41, 90.00 degrees
Space group C2/m (No. 12)
Asymmetric unit:
Ce  0.0000  0.0000  0.0000
Ce  0.0000  0.3347  0.0000
Zr  0.0000  0.1672  0.5000
Pa  0.0000  0.5000  0.5000
P  0.2376  0.0000  0.7319
P  0.2479  0.3302  0.7342

Properties
energy of formation: -33.4 kcal/mol of atoms
raw total energy: -7.851 eV/atom

Density functional theory data (PBE-GGA) for crystalline Ce2PPb at its relaxed geometry.

Cell lengths 3.9422, 3.9422, 25.4045 Å; angles 90.00, 90.00, 120.00 degrees
Space group R3m (No. 160, hexagonal axes)
Asymmetric unit:
Ce  0.0000  0.0000  0.0000
Ce  0.0000  0.0000  0.2026
P  0.0000  0.0000  0.6016
Pb  0.0000  0.0000  0.4342

Properties
offset from the most stable computed form: 0.034 eV per atom
energy of formation: -19.8 kcal/mol of atoms
raw total energy: -6.104 eV/atom

Density functional theory data (PBE-GGA) for crystalline Ce2PPb at its relaxed geometry.

Cell lengths 3.5166, 3.5166, 8.1943 Å; angles 90.00, 90.00, 90.00 degrees
Space group P4/mmm (No. 123)
Asymmetric unit:
Ce  0.0000  0.0000  0.2028
P  0.5000  0.5000  0.0000
Pb  0.5000  0.5000  0.5000

Properties
offset from the most stable computed form: 0.074 eV per atom
energy of formation: -18.8 kcal/mol of atoms
raw total energy: -6.063 eV/atom

Density functional theory data (PBE-GGA) for crystalline Ce3PPb at its relaxed geometry.

Cell lengths 5.3575, 5.3575, 5.3575 Å; angles 90.00, 90.00, 90.00 degrees
Space group Pm-3m (No. 221)
Asymmetric unit:
Ce  0.0000  0.0000  0.5000
P  0.0000  0.0000  0.0000
Pb  0.5000  0.5000  0.5000

Properties
offset from the most stable computed form: 0.137 eV per atom
energy of formation: -14.2 kcal/mol of atoms
raw total energy: -5.998 eV/atom

Density functional theory data (PBE-GGA) for crystalline Ce3PPb at its relaxed geometry.

Cell lengths 8.6400, 4.2242, 15.4947 Å; angles 90.00, 90.00, 90.00 degrees
Space group Pnma (No. 62)
Asymmetric unit:
Ce  0.0263  0.2500  0.1074
Ce  0.1329  0.2500  0.5060
Ce  0.1900  0.7500  0.2830
P  0.1736  0.2500  0.9450
Pb  0.0916  0.7500  0.6750

Properties
offset from the most stable computed form: 0.000 eV per atom
energy of formation: -17.3 kcal/mol of atoms
raw total energy: -6.135 eV/atom

Number 1: D(E_F) 1.50 states/eV/atom. Number 2: D(E_F) 1.07 states/eV/atom. Number 3: D(E_F) 1.41 states/eV/atom. Number 4: D(E_F) 1.74 states/eV/atom. Number 5: D(E_F) 2.16 states/eV/atom. Number 6: D(E_F) 2.05 states/eV/atom. Number 7: D(E_F) 1.30 states/eV/atom. Number 8: D(E_F) 2.09 states/eV/atom. Number 9: D(E_F) 1.23 states/eV/atom. Number 10: D(E_F) 1.10 states/eV/atom. Number 11: D(E_F) 1.49 states/eV/atom. Number 12: D(E_F) 1.52 states/eV/atom. Number 13: D(E_F) 1.01 states/eV/atom. Number 14: D(E_F) 1.23 states/eV/atom. Number 15: D(E_F) 1.01 states/eV/atom. Number 16: D(E_F) 1.05 states/eV/atom. Number 17: D(E_F) 2.80 states/eV/atom. Number 18: D(E_F) 2.83 states/eV/atom. Number 19: D(E_F) 2.79 states/eV/atom. Number 20: D(E_F) 3.06 states/eV/atom.